A plane-wave DFT calculation with PBE was carried out for YGa3PdPt after structural relaxation.

a b c (Å): 7.2419 7.2419 5.7439
angles (deg): 90.00 90.00 131.92
Element x y z (fractional)
Y 0.2027 0.7973 0.7500
Y 0.7973 0.2027 0.2500
Ga 0.2131 0.2131 0.0000
Ga 0.2131 0.2131 0.5000
Ga 0.3543 0.6457 0.2500
Ga 0.6457 0.3543 0.7500
Ga 0.7869 0.7869 0.0000
Ga 0.7869 0.7869 0.5000
Pd 0.1550 0.8450 0.2500
Pd 0.8450 0.1550 0.7500
Pt 0.4079 0.5921 0.7500
Pt 0.5921 0.4079 0.2500

Output
* energy of formation from the pure elements: -574.0 meV per atom
* total magnetization: 0.00 Bohr magnetons per cell
* space-group type: Cmcm, No. 63